A relaxed IrRh2Se crystal, computed with PBEsol.

Values from the calculation:
- raw formation energy (eV/atom) = 0.299
- space group = I-4m2
- magnetic moment (μB per atom) = 0.0002
- calculated density (g/cm³) = 13.8

Lattice parameters (Å, degrees): 4.6340 4.6340 4.6340 129.67 129.67 73.94
Last column: nearest neighbours and their distance in Å.
Positions (direct):
Ir: 0.0000 0.0000 0.0000  4 Se 2.70, 8 Rh 2.70-2.79
Rh: 0.5000 0.5000 0.0000  4 Se 2.70, 4 Rh 2.70, 4 Ir 2.79
Rh: 0.7500 0.2500 0.5000  4 Rh 2.70, 4 Ir 2.70, 4 Se 2.79
Se: 0.2500 0.7500 0.5000  8 Rh 2.70-2.79, 4 Ir 2.70


A relaxed IrRh2Se crystal, computed with PBEsol.

Values from the calculation:
- raw formation energy (eV/atom) = 0.338
- space group = Cmmm
- magnetic moment (μB per atom) = 0.0001
- calculated density (g/cm³) = 13.6

Lattice parameters (Å, degrees): 2.7372 2.7372 9.0473 90.00 90.00 120.53
Last column: nearest neighbours and their distance in Å.
Positions (direct):
Ir: 0.0000 0.0000 0.0000  4 Rh 2.64, 6 Ir 2.72-2.74
Rh: 0.5000 0.5000 0.2504  2 Se 2.64, 2 Ir 2.64, 6 Rh 2.72-2.74
Rh: 0.5000 0.5000 0.7496  2 Se 2.64, 2 Ir 2.64, 6 Rh 2.72-2.74
Se: 0.0000 0.0000 0.5000  4 Rh 2.64, 6 Se 2.72-2.74


A relaxed IrRh2Se crystal, computed with PBEsol.

Values from the calculation:
- raw formation energy (eV/atom) = 0.410
- space group = Cmm2
- magnetic moment (μB per atom) = 0.0001
- calculated density (g/cm³) = 13.5

Lattice parameters (Å, degrees): 2.7332 2.7332 9.1341 90.00 90.00 120.46
Last column: nearest neighbours and their distance in Å.
Positions (direct):
Ir: 0.0000 0.0000 0.0000  2 Rh 2.62, 6 Ir 2.71-2.73, 2 Se 2.76
Rh: 0.0000 0.0000 0.4938  2 Se 2.60, 8 Rh 2.64-2.73
Rh: 0.5000 0.5000 0.2458  2 Ir 2.62, 8 Rh 2.64-2.73
Se: 0.5000 0.5000 0.7363  2 Rh 2.60, 6 Se 2.71-2.73, 2 Ir 2.76


A relaxed IrRh2Se crystal, computed with PBEsol.

Values from the calculation:
- raw formation energy (eV/atom) = 0.284
- space group = P4/mmm
- magnetic moment (μB per atom) = 0.0000
- calculated density (g/cm³) = 13.9

Lattice parameters (Å, degrees): 3.8271 3.8271 3.9008 90.00 90.00 90.00
Last column: nearest neighbours and their distance in Å.
Positions (direct):
Ir: 0.0000 0.0000 0.0000  4 Se 2.71, 8 Rh 2.73
Rh: 0.0000 0.5000 0.5000  4 Rh 2.71, 4 Se 2.73, 4 Ir 2.73
Rh: 0.5000 0.0000 0.5000  4 Rh 2.71, 4 Se 2.73, 4 Ir 2.73
Se: 0.5000 0.5000 0.0000  4 Ir 2.71, 8 Rh 2.73


> Which of these has the lowest raw formation energy?

number 4


> The highest magnetic moment belongs to which entry?

number 1


> Among the records above, which one has the highest calculated density?

number 4


> Number 3 is which compound?

IrRh2Se